# 1
## BMoIr3 (PBE-GGA)

Data for a geometry-optimized BMoIr3 structure.

Summary:
Its volume is 14.06 A^3/atom. Its density of states at the Fermi level is 6.0 states/eV per cell. The calculation puts the distance to the lowest polymorph of the same formula at 0 meV per atom. The calculation puts the formation energy at 0.208 eV/atom.

Structure (POSCAR):
```
BMoIr3
1.0
-1.9269 -3.6496 0.0323
3.4959 -1.8351 1.2020
-1.0486 0.5886 3.9481
Mo Ir B
1 3 1
Direct
0.5000 0.5000 0.5000
0.0000 0.5000 0.0000
0.0000 0.0000 0.5000
0.5000 0.0000 0.0000
0.0000 0.0000 0.0000
```

---

# 2
## K4Rb2Hg2O (PBE-GGA)

Data for a geometry-optimized K4Rb2Hg2O structure.

Summary:
Its volume is 43.97 A^3/atom. Its density of states at the Fermi level is 6.0 states/eV per cell. For the energy relative to the elements, uncorrected, the calculation gives -0.43 eV/atom.

Structure (POSCAR):
```
K4Rb2Hg2O
1.0
8.2364 -0.5180 -0.8173
-3.7828 7.3346 0.8173
-3.7828 -2.3917 6.9817
K Rb Hg O
4 2 2 1
Direct
0.0000 0.7735 0.2265
0.5470 0.7735 0.7735
0.0000 0.2265 0.7735
0.4530 0.2265 0.2265
0.0000 0.7670 0.7670
0.0000 0.2330 0.2330
0.5000 0.7500 0.2500
0.5000 0.2500 0.7500
0.0000 0.0000 0.0000
```

---

# 3
## CuIrPt (PBE-GGA)

Data for a geometry-optimized CuIrPt structure.

Summary:
Its volume is 14.51 A^3/atom. Its density of states at the Fermi level is 4.2 states/eV per cell. The calculation puts the distance to the lowest polymorph of the same formula at 91 meV per atom. The calculation puts the formation energy at 0.133 eV/atom.

Structure (POSCAR):
```
CuIrPt
1.0
-6.1446 3.8422 0.6727
-5.9866 2.2806 2.8735
0.7430 2.5963 0.1195
Cu Ir Pt
1 1 1
Direct
0.9984 0.9984 0.0016
0.3399 0.3399 0.6601
0.6617 0.6617 0.3383
```

---

| no. | total DFT energy (no corrections) (eV per atom) | ρ (g/cm³) |
| --- | --- | --- |
| 1 | -8.611 | 16.14 |
| 2 | -1.756 | 3.12 |
| 3 | -6.200 | 17.20 |